# 1
# Sn3SbTeSe PBE relaxed
data_Sn3SbTeSe
_chemical_formula_sum 'Sn6 Sb2 Te2 Se2'
_symmetry_space_group_name_H-M 'P 1 21/m 1'
_symmetry_Int_Tables_number 11
_cell_length_a 7.4367
_cell_length_b 4.3245
_cell_length_c 11.8798
_cell_angle_alpha 90.00
_cell_angle_beta 92.52
_cell_angle_gamma 90.00
loop_
_symmetry_equiv_pos_as_xyz
'x,y,z'
'-x,-y,-z'
'-x,y+1/2,-z'
'x,-y+1/2,z'
loop_
_atom_site_label
_atom_site_type_symbol
_atom_site_fract_x
_atom_site_fract_y
_atom_site_fract_z
Sn1 Sn 0.0051 0.2500 0.3412
Sn2 Sn 0.2885 0.2500 0.0644
Sn3 Sn 0.4922 0.2500 0.3561
Sb1 Sb 0.2401 0.2500 0.5566
Te1 Te 0.3161 0.7500 0.8807
Se1 Se 0.2482 0.7500 0.2526
# Crystal system = monoclinic
# Formation energy from raw total energies = -146 meV per atom
# Magnetization = 0.00 μB/atom

***

# 2
# Sn4Sb2TeSe PBE relaxed
data_Sn4Sb2TeSe
_chemical_formula_sum 'Sn16 Sb8 Te4 Se4'
_symmetry_space_group_name_H-M 'F m m 2'
_symmetry_Int_Tables_number 42
_symmetry_space_group_name_Hall 'F 2 -2'
_cell_length_a 8.7542
_cell_length_b 12.4799
_cell_length_c 8.8396
_cell_angle_alpha 90.00
_cell_angle_beta 90.00
_cell_angle_gamma 90.00
loop_
_atom_site_label
_atom_site_type_symbol
_atom_site_fract_x
_atom_site_fract_y
_atom_site_fract_z
Sn1 Sn 0.0000 0.2437 0.0000
Sn2 Sn 0.2354 0.0000 0.7703
Sb1 Sb 0.2500 0.2500 0.2463
Te1 Te 0.0000 0.0000 0.4994
Se1 Se 0.0000 0.0000 0.9874
# Crystal system = orthorhombic
# Formation energy from raw total energies = -156 meV per atom
# Magnetization = 0.00 μB/atom

***

# 3
# SnSbTeSe2 PBE relaxed
data_SnSbTeSe2
_chemical_formula_sum 'Sn2 Sb2 Te2 Se4'
_symmetry_space_group_name_H-M 'P 1 21/m 1'
_symmetry_Int_Tables_number 11
_cell_length_a 7.3413
_cell_length_b 4.0559
_cell_length_c 11.5186
_cell_angle_alpha 90.00
_cell_angle_beta 107.84
_cell_angle_gamma 90.00
loop_
_symmetry_equiv_pos_as_xyz
'x,y,z'
'-x,-y,-z'
'-x,y+1/2,-z'
'x,-y+1/2,z'
loop_
_atom_site_label
_atom_site_type_symbol
_atom_site_fract_x
_atom_site_fract_y
_atom_site_fract_z
Sn1 Sn 0.1308 0.2500 0.1431
Sb1 Sb 0.2611 0.2500 0.4963
Te1 Te 0.0022 0.2500 0.6765
Se1 Se 0.2405 0.7500 0.0153
Se2 Se 0.4976 0.7500 0.6476
# Crystal system = monoclinic
# Formation energy from raw total energies = -246 meV per atom
# Magnetization = 0.00 μB/atom

***

# 4
# SnSbTe2Se PBE relaxed
data_SnSbTe2Se
_chemical_formula_sum 'Sn1 Sb1 Te2 Se1'
_symmetry_space_group_name_H-M 'P 4/m m m'
_symmetry_Int_Tables_number 123
_symmetry_space_group_name_Hall '-P 4 2'
_cell_length_a 5.6008
_cell_length_b 5.6008
_cell_length_c 5.8150
_cell_angle_alpha 90.00
_cell_angle_beta 90.00
_cell_angle_gamma 90.00
loop_
_atom_site_label
_atom_site_type_symbol
_atom_site_fract_x
_atom_site_fract_y
_atom_site_fract_z
Sn1 Sn 0.0000 0.0000 0.0000
Sb1 Sb 0.0000 0.0000 0.5000
Te1 Te 0.0000 0.5000 0.0000
Se1 Se 0.5000 0.5000 0.5000
# Crystal system = tetragonal
# Formation energy from raw total energies = 796 meV per atom
# Magnetization = 0.17 μB/atom
# Excess energy over the best structure of this formula in the dataset = 0.390 eV per atom

***

# 5
# Sn6Sb2TeSe3 PBE relaxed
data_Sn6Sb2TeSe3
_chemical_formula_sum 'Sn12 Sb4 Te2 Se6'
_symmetry_space_group_name_H-M 'C 1 2/m 1'
_symmetry_Int_Tables_number 12
_cell_length_a 19.0869
_cell_length_b 4.3262
_cell_length_c 8.6563
_cell_angle_alpha 90.00
_cell_angle_beta 103.43
_cell_angle_gamma 90.00
loop_
_symmetry_equiv_pos_as_xyz
'x,y,z'
'-x,-y,-z'
'-x,y,-z'
'x,-y,z'
'x+1/2,y+1/2,z'
'-x+1/2,-y+1/2,-z'
'-x+1/2,y+1/2,-z'
'x+1/2,-y+1/2,z'
loop_
_atom_site_label
_atom_site_type_symbol
_atom_site_fract_x
_atom_site_fract_y
_atom_site_fract_z
Sn1 Sn 0.0003 0.0000 0.2376
Sn2 Sn 0.1691 0.5000 0.0837
Sn3 Sn 0.1719 0.5000 0.5818
Sb1 Sb 0.1657 0.0000 0.8345
Te1 Te 0.0000 0.5000 0.5000
Se1 Se 0.0000 0.5000 0.0000
Se2 Se 0.1679 0.0000 0.3377
# Crystal system = monoclinic
# Formation energy from raw total energies = -216 meV per atom
# Magnetization = 0.00 μB/atom

***

# 6
# SnSbTe2Se PBE relaxed
data_SnSbTe2Se
_chemical_formula_sum 'Sn1 Sb1 Te2 Se1'
_symmetry_space_group_name_H-M 'P 4/m m m'
_symmetry_Int_Tables_number 123
_symmetry_space_group_name_Hall '-P 4 2'
_cell_length_a 5.4612
_cell_length_b 5.4612
_cell_length_c 5.4746
_cell_angle_alpha 90.00
_cell_angle_beta 90.00
_cell_angle_gamma 90.00
loop_
_atom_site_label
_atom_site_type_symbol
_atom_site_fract_x
_atom_site_fract_y
_atom_site_fract_z
Sn1 Sn 0.0000 0.0000 0.0000
Sb1 Sb 0.5000 0.5000 0.0000
Te1 Te 0.0000 0.5000 0.5000
Se1 Se 0.5000 0.5000 0.5000
# Crystal system = tetragonal
# Formation energy from raw total energies = 406 meV per atom
# Magnetization = 0.00 μB/atom
# Excess energy over the best structure of this formula in the dataset = 0.000 eV per atom

***

# 7
# Th4SnSbSe2 PBE relaxed
data_Th4SnSbSe2
_chemical_formula_sum 'Th4 Sn1 Sb1 Se2'
_symmetry_space_group_name_H-M 'P 1 2/m 1'
_symmetry_Int_Tables_number 10
_cell_length_a 7.4328
_cell_length_b 4.4096
_cell_length_c 7.6549
_cell_angle_alpha 90.00
_cell_angle_beta 109.98
_cell_angle_gamma 90.00
loop_
_symmetry_equiv_pos_as_xyz
'x,y,z'
'-x,-y,-z'
'-x,y,-z'
'x,-y,z'
loop_
_atom_site_label
_atom_site_type_symbol
_atom_site_fract_x
_atom_site_fract_y
_atom_site_fract_z
Th1 Th 0.2280 0.0000 0.2406
Th2 Th 0.2286 0.5000 0.7453
Sn1 Sn 0.5000 0.0000 0.0000
Sb1 Sb 0.5000 0.5000 0.5000
Se1 Se 0.0000 0.0000 0.5000
Se2 Se 0.0000 0.5000 0.0000
# Crystal system = monoclinic
# Formation energy from raw total energies = -1122 meV per atom
# Magnetization = 0.00 μB/atom

***

# 8
# Tl3SnSb2Se6 PBE relaxed
data_Tl3SnSb2Se6
_chemical_formula_sum 'Tl6 Sn2 Sb4 Se12'
_symmetry_space_group_name_H-M 'C 1 2/m 1'
_symmetry_Int_Tables_number 12
_cell_length_a 7.2852
_cell_length_b 12.6248
_cell_length_c 7.9594
_cell_angle_alpha 90.00
_cell_angle_beta 107.70
_cell_angle_gamma 90.00
loop_
_symmetry_equiv_pos_as_xyz
'x,y,z'
'-x,-y,-z'
'-x,y,-z'
'x,-y,z'
'x+1/2,y+1/2,z'
'-x+1/2,-y+1/2,-z'
'-x+1/2,y+1/2,-z'
'x+1/2,-y+1/2,z'
loop_
_atom_site_label
_atom_site_type_symbol
_atom_site_fract_x
_atom_site_fract_y
_atom_site_fract_z
Tl1 Tl 0.0000 0.0000 0.0000
Tl2 Tl 0.0000 0.3305 0.0000
Sn1 Sn 0.0000 0.5000 0.5000
Sb1 Sb 0.0000 0.1665 0.5000
Se1 Se 0.2370 0.3334 0.7129
Se2 Se 0.2386 0.0000 0.7147
# Crystal system = monoclinic
# Formation energy from raw total energies = -363 meV per atom
# Magnetization = 0.00 μB/atom